1.
A plane-wave DFT calculation with PBE-GGA was carried out for an optimized crystal structure of Li2Tb2PrSn2.

Cell and atoms, written as POSCAR:
```
Li2Tb2PrSn2
1.0
2.414 1.394 9.048
-2.414 1.394 9.048
0.000 -2.787 9.048
Li Tb Pr Sn
2 2 1 2
Cartesian
0.000 0.000 2.453
0.000 0.000 24.691
0.000 0.000 10.035
0.000 0.000 17.109
0.000 0.000 13.572
0.000 0.000 6.518
0.000 0.000 20.626
```

Computed properties:
The value obtained for the formation enthalpy at 0 K is -0.472 eV/atom.

=====

2.
A plane-wave DFT calculation with PBE-GGA was carried out for an optimized crystal structure of Li2TbPr2Sn2.

Cell and atoms, written as POSCAR:
```
Li2TbPr2Sn2
1.0
2.407 1.390 9.256
-2.407 1.390 9.256
0.000 -2.779 9.256
Li Tb Pr Sn
2 1 2 2
Cartesian
0.000 0.000 2.947
0.000 0.000 24.820
0.000 0.000 13.883
0.000 0.000 10.335
0.000 0.000 17.432
0.000 0.000 6.446
0.000 0.000 21.321
```

Computed properties:
The value obtained for the formation enthalpy at 0 K is -0.469 eV/atom.

=====

3.
A plane-wave DFT calculation with PBE-GGA was carried out for an optimized crystal structure of LiPr2SnTe4.

Cell and atoms, written as POSCAR:
```
LiPr2SnTe4
1.0
7.679 0.000 0.000
0.000 4.447 0.000
-2.547 0.000 7.516
Li Pr Sn Te
1 2 1 4
Cartesian
0.000 0.000 0.000
-1.274 2.224 3.758
2.566 0.000 3.758
3.839 2.224 0.000
1.253 2.224 1.799
-0.040 0.000 5.717
5.171 0.000 1.799
3.878 2.224 5.717
```

Computed properties:
The value obtained for the formation energy without anion corrections is -1.0423 eV per atom.

=====

4.
A plane-wave DFT calculation with PBE-GGA was carried out for an optimized crystal structure of Li2PrSn3Te6.

Cell and atoms, written as POSCAR:
```
Li2PrSn3Te6
1.0
3.801 -6.592 0.000
3.801 6.592 0.000
-2.546 0.000 7.438
Li Pr Sn Te
2 1 3 6
Cartesian
3.801 4.318 0.000
3.801 -4.318 0.000
3.801 0.000 0.000
-1.273 0.000 3.719
2.528 2.124 3.719
2.528 -2.124 3.719
-0.034 2.238 5.617
1.208 0.000 1.821
-0.034 -2.238 5.617
5.089 2.238 1.820
3.848 0.000 5.616
5.089 -2.238 1.820
```

Computed properties:
The value obtained for the formation energy without anion corrections is -0.6601 eV per atom.